TlAgSe2, optimized geometry, DFT GGA-PBE; symmetry = R3m; final energy = -2.994 eV/atom; density = 7.70 g cm⁻³; D(E_F) = 2.6 states/eV/cell; raw formation energy = 0.0521 eV/atom
1.0
6.770 -0.018 -0.011
5.409 4.072 -0.011
5.409 1.800 3.653
Ag Se Tl
1 2 1
Direct
0.733 0.733 0.733
0.024 0.024 0.024
0.241 0.241 0.241
0.502 0.502 0.502



Sr2ErInHg6, optimized geometry, DFT GGA-PBE; symmetry = Fm-3m; final energy = -1.365 eV/atom; density = 7.79 g cm⁻³; D(E_F) = 8.7 states/eV/cell
1.0
7.940 0.000 0.000
0.001 7.940 0.000
3.970 3.970 5.614
In Hg Sr Er
1 6 2 1
Direct
0.000 0.000 0.000
0.247 0.247 0.505
0.247 0.753 0.000
0.247 0.247 0.000
0.753 0.753 0.495
0.753 0.753 0.000
0.753 0.247 0.000
0.750 0.250 0.500
0.250 0.750 0.500
0.500 0.500 0.000



SmCdHgRh, optimized geometry, DFT GGA-PBE; symmetry = F-43m; final energy = -3.655 eV/atom; density = 10.88 g cm⁻³; D(E_F) = 2.5 states/eV/cell
1.0
4.963 0.000 0.000
2.482 4.298 0.000
2.482 1.433 4.052
Cd Sm Rh Hg
1 1 1 1
Direct
0.250 0.250 0.250
0.750 0.750 0.750
0.500 0.500 0.500
0.000 0.000 0.000



RbGa2Ag, optimized geometry, DFT GGA-PBE; symmetry = R3m; final energy = -2.525 eV/atom; density = 4.68 g cm⁻³; D(E_F) = 1.8 states/eV/cell
1.0
4.299 0.000 1.547
1.870 3.871 1.547
-0.106 -0.066 7.038
Ga Rb Ag
2 1 1
Direct
0.302 0.302 0.095
0.014 0.014 0.957
0.498 0.498 0.506
0.686 0.686 0.943



Li2LaPuO6, optimized geometry, DFT GGA-PBE; symmetry = R-3; final energy = -7.873 eV/atom; density = 5.94 g cm⁻³; raw formation energy = -2.5896 eV/atom
1.0
-0.780 -5.111 -1.432
0.428 -3.905 3.653
-5.497 -2.510 1.900
O Li Pu La
6 2 1 1
Direct
0.688 0.066 0.847
0.066 0.399 0.847
0.567 0.233 0.256
0.233 0.944 0.256
0.399 0.688 0.847
0.944 0.567 0.256
0.622 0.622 0.135
0.011 0.011 0.968
0.316 0.316 0.051
0.816 0.816 0.552



SrNiW2, optimized geometry, DFT GGA-PBE; symmetry = Cm; final energy = -7.598 eV/atom; density = 9.92 g cm⁻³; D(E_F) = 3.4 states/eV/cell; polymorph energy (0 for the lowest one) = 67.4 kJ/mol of formula units
1.0
4.801 -0.029 0.043
3.784 2.955 0.043
1.331 0.454 6.032
W Sr Ni
2 1 1
Direct
0.033 0.033 0.881
0.754 0.754 0.756
0.238 0.238 0.270
0.474 0.474 0.593



La3Cu4Rh2, optimized geometry, DFT GGA-PBE; symmetry = C2/m; final energy = -5.498 eV/atom; density = 7.67 g cm⁻³; D(E_F) = 3.8 states/eV/cell
1.0
-2.539 -1.815 2.899
0.871 -3.588 -4.613
6.661 -0.923 5.257
Cu La Rh
4 3 2
Direct
0.275 0.550 0.947
0.725 0.450 0.053
0.960 0.920 0.618
0.040 0.080 0.382
0.678 0.356 0.654
0.322 0.644 0.346
0.000 0.000 0.000
0.389 0.778 0.731
0.611 0.222 0.269



K4Pu6F19, optimized geometry, DFT GGA-PBE; symmetry = I23; final energy = -7.564 eV/atom; density = 5.25 g cm⁻³; D(E_F) = 48.4 states/eV/cell; raw formation energy = -3.2214 eV/atom
1.0
2.782 -7.841 -4.239
0.396 -1.157 9.257
-8.776 1.954 -2.519
F Pu K
19 6 4
Direct
0.272 0.670 0.029
0.728 0.758 0.398
0.000 0.635 0.635
0.398 0.728 0.758
0.640 0.242 0.971
0.758 0.398 0.728
0.029 0.272 0.670
0.242 0.971 0.640
0.360 0.330 0.602
0.365 0.365 0.000
0.635 0.000 0.635
0.000 0.000 0.000
0.330 0.602 0.360
0.602 0.360 0.330
0.635 0.635 0.000
0.670 0.029 0.272
0.365 0.000 0.365
0.971 0.640 0.242
0.000 0.365 0.365
0.500 0.175 0.675
0.325 0.500 0.825
0.825 0.325 0.500
0.500 0.825 0.325
0.175 0.675 0.500
0.675 0.500 0.175
0.273 0.273 0.273
0.000 0.000 0.727
0.000 0.727 0.000
0.727 0.000 0.000



Nb2Co2P, optimized geometry, DFT GGA-PBE; symmetry = I4/mmm; final energy = -7.636 eV/atom; density = 6.84 g cm⁻³; D(E_F) = 4.3 states/eV/cell; polymorph energy (0 for the lowest one) = 291.8 kJ/mol of formula units
1.0
4.180 0.000 0.000
0.000 4.180 0.000
2.090 2.090 4.649
Nb Co P
2 2 1
Direct
0.250 0.750 0.500
0.750 0.250 0.500
0.385 0.385 0.230
0.615 0.615 0.770
0.000 0.000 0.000



SrLa2MgH, optimized geometry, DFT GGA-PBE; symmetry = P4/mmm; final energy = -3.391 eV/atom; density = 4.45 g cm⁻³; D(E_F) = 6.5 states/eV/cell; polymorph energy (0 for the lowest one) = 0.0 kJ/mol of formula units
1.0
-4.814 -1.051 -1.535
-0.372 -3.629 3.651
-1.933 3.729 3.510
Sr La Mg H
1 2 1 1
Direct
0.000 0.000 0.500
0.500 0.000 0.000
0.000 0.500 0.000
0.500 0.500 0.500
0.000 0.000 0.000



Tl3CuP, optimized geometry, DFT GGA-PBE; symmetry = Pm-3m; final energy = -2.844 eV/atom; density = 8.53 g cm⁻³; D(E_F) = 3.8 states/eV/cell; polymorph energy (0 for the lowest one) = 0.0 kJ/mol of formula units
1.0
5.164 0.000 0.000
0.000 5.164 0.000
0.000 0.000 5.164
Cu Tl P
1 3 1
Direct
0.000 0.000 0.000
0.000 0.000 0.500
0.000 0.500 0.000
0.500 0.000 0.000
0.500 0.500 0.500



Hg3Se2Cl2, optimized geometry, DFT GGA-PBE; symmetry = I2_13; final energy = -2.085 eV/atom; density = 6.77 g cm⁻³; D(E_F) = 0.0 states/eV/cell; polymorph energy (0 for the lowest one) = 0.0 kJ/mol of formula units; raw formation energy = -0.4322 eV/atom
1.0
8.087 0.000 0.000
-2.696 7.625 0.000
-2.696 -3.812 6.603
Se Hg Cl
4 6 4
Direct
0.458 0.458 0.458
0.000 0.500 0.042
0.500 0.042 0.000
0.042 0.000 0.500
0.810 0.060 0.250
0.250 0.810 0.060
0.440 0.750 0.690
0.750 0.690 0.440
0.060 0.250 0.810
0.690 0.440 0.750
0.984 0.984 0.984
0.500 0.516 0.000
0.000 0.500 0.516
0.516 0.000 0.500



Q: Look up the final energy of the ninth one.
A: -7.636 eV/atom



Please write out number 6 again, unchanged.
SrNiW2, optimized geometry, DFT GGA-PBE; symmetry = Cm; final energy = -7.598 eV/atom; density = 9.92 g cm⁻³; D(E_F) = 3.4 states/eV/cell; polymorph energy (0 for the lowest one) = 67.4 kJ/mol of formula units
1.0
4.801 -0.029 0.043
3.784 2.955 0.043
1.331 0.454 6.032
W Sr Ni
2 1 1
Direct
0.033 0.033 0.881
0.754 0.754 0.756
0.238 0.238 0.270
0.474 0.474 0.593



Copy entry 9 word for word.
Nb2Co2P, optimized geometry, DFT GGA-PBE; symmetry = I4/mmm; final energy = -7.636 eV/atom; density = 6.84 g cm⁻³; D(E_F) = 4.3 states/eV/cell; polymorph energy (0 for the lowest one) = 291.8 kJ/mol of formula units
1.0
4.180 0.000 0.000
0.000 4.180 0.000
2.090 2.090 4.649
Nb Co P
2 2 1
Direct
0.250 0.750 0.500
0.750 0.250 0.500
0.385 0.385 0.230
0.615 0.615 0.770
0.000 0.000 0.000



Q: Among the records above, which one has the highest density?
A: SmCdHgRh